{"formula": "Be2NiP", "functional": "GGA-PBE", "state": "optimized geometry", "lattice_angstrom": [[3.3671, 0.0000, 0.0000], [0.0000, 3.3671, 0.0000], [0.0000, 0.0000, 6.8735]], "species": ["Be", "Be", "Be", "Be", "Ni", "Ni", "P", "P"], "fractional_positions": [[0.0000, 0.5000, 0.2500], [0.0000, 0.5000, 0.7500], [0.5000, 0.0000, 0.2500], [0.5000, 0.0000, 0.7500], [0.0000, 0.0000, 0.0000], [0.5000, 0.5000, 0.5000], [0.0000, 0.0000, 0.5000], [0.5000, 0.5000, 0.0000]], "total_magnetization_mub_per_cell": 0.00, "e_tot_ev_per_atom": -4.823, "space_group": "I4/mmm (139)"}